[1]
Below is a relaxed structure of LiMg4Ag, with properties calculated at the GGA-PBE level.

abc: 5.733 5.733 5.733
angles: 60.00 60.00 60.00
Element x y z (fractional)
Li (0.000, 0.000, 0.000)
Mg (0.874, 0.375, 0.375)
Mg (0.375, 0.375, 0.874)
Mg (0.375, 0.874, 0.375)
Mg (0.375, 0.375, 0.375)
Ag (0.750, 0.750, 0.750)

Values from the calculation:
Its space group is No. 216. For the excess energy over the best structure of this formula in the dataset, the calculation gives 103 meV per atom. The formation energy comes out at 0.0986 eV/atom. The raw total energy is -1.759 eV per atom.



[2]
Below is a relaxed structure of FeSnBr4, with properties calculated at the GGA-PBE level.

abc: 8.003 11.032 9.138
angles: 90.00 90.00 90.00
Last column: magnetic moment on the atom in μB.
Element x y z (fractional)
Fe (0.250, 0.625, 0.996)  3.35
Fe (0.750, 0.125, 0.504)  3.35
Fe (0.250, 0.875, 0.496)  3.35
Fe (0.750, 0.375, 0.004)  3.35
Sn (0.250, 0.251, 0.249)  0.02
Sn (0.750, 0.751, 0.251)  0.02
Sn (0.250, 0.249, 0.749)  0.02
Sn (0.750, 0.749, 0.751)  0.02
Br (0.005, 0.764, 0.997)  0.06
Br (0.495, 0.764, 0.997)  0.06
Br (0.750, 0.482, 0.232)  0.09
Br (0.250, 0.519, 0.225)  0.09
Br (0.750, 0.019, 0.275)  0.09
Br (0.250, 0.982, 0.268)  0.09
Br (0.995, 0.264, 0.503)  0.06
Br (0.505, 0.264, 0.503)  0.06
Br (0.005, 0.736, 0.497)  0.06
Br (0.495, 0.736, 0.497)  0.06
Br (0.750, 0.018, 0.732)  0.09
Br (0.250, 0.981, 0.725)  0.09
Br (0.750, 0.481, 0.775)  0.09
Br (0.250, 0.518, 0.768)  0.09
Br (0.505, 0.236, 0.003)  0.06
Br (0.995, 0.236, 0.003)  0.06

Values from the calculation:
Its space group is No. 62. Its formation energy from raw total energies is -0.538 eV per atom. The raw total energy is -3.731 eV per atom.



[3]
Below is a relaxed structure of ZnFeTe, with properties calculated at the GGA-PBE level.

abc: 3.294 3.294 6.081
angles: 90.00 90.00 120.00
Last column: magnetic moment on the atom in μB.
Element x y z (fractional)
Fe (0.000, 0.000, 0.003)  1.69
Te (0.333, 0.667, 0.278)  -0.08
Zn (0.667, 0.333, 0.719)  -0.04

Values from the calculation:
Its space group is No. 156. For the excess energy over the best structure of this formula in the dataset, the calculation gives 134 meV per atom. Its formation energy from raw total energies is 0.278 eV per atom. The raw total energy is -4.015 eV per atom.



[4]
Below is a relaxed structure of RbGePt2Pb, with properties calculated at the GGA-PBE level.

abc: 4.824 5.791 4.824
angles: 90.00 90.00 90.00
Element x y z (fractional)
Pb (0.500, 0.500, 0.500)
Ge (0.000, 0.000, 0.000)
Rb (0.000, 0.500, 0.000)
Pt (0.000, 0.000, 0.500)
Pt (0.500, 0.000, 0.000)

Values from the calculation:
Its space group is No. 123. For the excess energy over the best structure of this formula in the dataset, the calculation gives 666 meV per atom. The formation energy comes out at 0.3505 eV/atom. The raw total energy is -3.924 eV per atom.



[5]
Below is a relaxed structure of Cs2KZnAs2, with properties calculated at the GGA-PBE level.

abc: 8.000 7.041 9.474
angles: 111.81 114.97 90.00
Element x y z (fractional)
Cs (0.452, 0.173, 0.346)
Cs (0.548, 0.827, 0.654)
Cs (0.106, 0.327, 0.654)
Cs (0.894, 0.673, 0.346)
K (0.000, 0.750, 0.000)
K (0.000, 0.250, 0.000)
Zn (0.500, 0.750, 0.000)
Zn (0.500, 0.250, 0.000)
As (0.761, 0.080, 0.161)
As (0.400, 0.580, 0.161)
As (0.600, 0.420, 0.839)
As (0.239, 0.920, 0.839)

Values from the calculation:
Its space group is No. 72. The formation energy comes out at -0.3280 eV/atom. The raw total energy is -2.558 eV per atom.



[6]
Below is a relaxed structure of Nd12CdIn3, with properties calculated at the GGA-PBE level.

abc: 4.989 4.989 19.912
angles: 90.00 90.00 90.00
Element x y z (fractional)
Nd (0.500, 0.500, 0.000)
Nd (0.500, 0.500, 0.248)
Nd (0.500, 0.500, 0.500)
Nd (0.500, 0.500, 0.752)
Nd (0.500, 0.000, 0.125)
Nd (0.500, 0.000, 0.374)
Nd (0.500, 0.000, 0.626)
Nd (0.500, 0.000, 0.875)
Nd (0.000, 0.500, 0.125)
Nd (0.000, 0.500, 0.374)
Nd (0.000, 0.500, 0.626)
Nd (0.000, 0.500, 0.875)
Cd (0.000, 0.000, 0.000)
In (0.000, 0.000, 0.250)
In (0.000, 0.000, 0.500)
In (0.000, 0.000, 0.750)

Values from the calculation:
Its space group is No. 123. The formation energy comes out at -0.2370 eV/atom. The raw total energy is -4.384 eV per atom.



[7]
Below is a relaxed structure of Ho2Be3Cu12Si, with properties calculated at the GGA-PBE level.

abc: 7.201 7.201 7.201
angles: 62.85 62.85 62.85
Element x y z (fractional)
Ho (0.605, 0.605, 0.605)
Ho (0.395, 0.395, 0.395)
Be (0.500, 0.000, 0.000)
Be (0.000, 0.500, 0.000)
Be (0.000, 0.000, 0.500)
Cu (0.342, 0.342, 0.900)
Cu (0.877, 0.877, 0.379)
Cu (0.379, 0.877, 0.877)
Cu (0.900, 0.342, 0.342)
Cu (0.877, 0.379, 0.877)
Cu (0.342, 0.900, 0.342)
Cu (0.658, 0.658, 0.100)
Cu (0.123, 0.123, 0.621)
Cu (0.621, 0.123, 0.123)
Cu (0.100, 0.658, 0.658)
Cu (0.123, 0.621, 0.123)
Cu (0.658, 0.100, 0.658)
Si (0.000, 0.000, 0.000)

Values from the calculation:
Its space group is No. 166. Its formation energy from raw total energies is 0.293 eV per atom. The raw total energy is -3.869 eV per atom.



[8]
Below is a relaxed structure of Pm4Sm7Mg, with properties calculated at the GGA-PBE level.

abc: 5.942 6.746 11.859
angles: 82.61 75.49 63.87
Element x y z (fractional)
Pm (0.632, 0.508, 0.228)
Pm (0.368, 0.492, 0.772)
Pm (0.828, 0.703, 0.640)
Pm (0.172, 0.297, 0.360)
Sm (0.797, 0.485, 0.922)
Sm (0.203, 0.515, 0.078)
Sm (0.093, 0.089, 0.724)
Sm (0.907, 0.911, 0.276)
Sm (0.365, 0.786, 0.484)
Sm (0.500, 0.000, 0.000)
Sm (0.635, 0.214, 0.516)
Mg (0.000, 0.000, 0.000)

Values from the calculation:
Its space group is No. 12. For the excess energy over the best structure of this formula in the dataset, the calculation gives 217 meV per atom. The formation energy comes out at 0.2303 eV/atom. The raw total energy is -4.239 eV per atom.



[9]
Below is a relaxed structure of Mo2PbAu, with properties calculated at the GGA-PBE level.

abc: 2.974 2.974 9.628
angles: 90.00 90.00 111.49
Element x y z (fractional)
Au (0.500, 0.500, 0.781)
Mo (0.000, 0.000, 0.017)
Mo (0.500, 0.500, 0.214)
Pb (0.000, 0.000, 0.489)

Values from the calculation:
Its space group is No. 35. The formation energy comes out at 0.4149 eV/atom. The raw total energy is -6.747 eV per atom.



[10]
Below is a relaxed structure of DyEr2ThBi4, with properties calculated at the GGA-PBE level.

abc: 4.502 7.773 7.779
angles: 70.50 90.00 90.00
Element x y z (fractional)
Dy (0.000, 0.500, 0.500)
Er (0.000, 0.000, 0.000)
Er (0.500, 0.000, 0.500)
Th (0.500, 0.500, 0.000)
Bi (0.000, 0.759, 0.743)
Bi (0.000, 0.241, 0.257)
Bi (0.500, 0.755, 0.252)
Bi (0.500, 0.245, 0.748)

Values from the calculation:
Its space group is No. 10. The formation energy comes out at -0.7684 eV/atom. The raw total energy is -5.352 eV per atom.



[11]
Below is a relaxed structure of TiOsPb, with properties calculated at the GGA-PBE level.

abc: 3.110 4.334 9.603
angles: 90.00 98.09 90.00
Element x y z (fractional)
Pb (0.167, 0.250, 0.869)
Pb (0.833, 0.750, 0.131)
Os (0.547, 0.250, 0.607)
Os (0.453, 0.750, 0.393)
Ti (0.949, 0.250, 0.382)
Ti (0.051, 0.750, 0.618)

Values from the calculation:
Its space group is No. 11. For the excess energy over the best structure of this formula in the dataset, the calculation gives 0 meV per atom. The formation energy comes out at -0.0660 eV/atom. The raw total energy is -7.677 eV per atom.



[12]
Below is a relaxed structure of Zr3TiSn, with properties calculated at the GGA-PBE level.

abc: 6.087 7.565 10.363
angles: 115.18 90.00 90.00
Element x y z (fractional)
Zr (0.097, 0.006, 0.256)
Zr (0.903, 0.994, 0.744)
Zr (0.597, 0.994, 0.244)
Zr (0.403, 0.006, 0.756)
Zr (0.619, 0.794, 0.460)
Zr (0.381, 0.206, 0.540)
Zr (0.119, 0.206, 0.040)
Zr (0.881, 0.794, 0.960)
Zr (0.148, 0.605, 0.633)
Zr (0.852, 0.395, 0.367)
Zr (0.648, 0.395, 0.867)
Zr (0.352, 0.605, 0.133)
Ti (0.121, 0.819, 0.447)
Ti (0.879, 0.181, 0.553)
Ti (0.621, 0.181, 0.053)
Ti (0.379, 0.819, 0.947)
Sn (0.852, 0.603, 0.171)
Sn (0.148, 0.397, 0.829)
Sn (0.352, 0.397, 0.329)
Sn (0.648, 0.603, 0.671)

Values from the calculation:
Its space group is No. 14. For the excess energy over the best structure of this formula in the dataset, the calculation gives 0 meV per atom. The formation energy comes out at -0.2434 eV/atom. The raw total energy is -7.752 eV per atom.